No. 1
Ba2Hg3BiPd4 | the Alexandria database | PBE | optimized geometry; VASP energy = -3.3906 eV/atom; DOS(E_F) = 5.58 states/eV/cell
1.0
4.9967 0.0000 0.0000
0.0000 4.9967 0.0000
0.0000 0.0000 10.4790
Ba Hg Bi Pd
2 3 1 4
Direct
0.5000 0.0000 0.2313
0.0000 0.5000 0.7687
0.0000 0.0000 0.5000
0.5000 0.0000 0.8776
0.0000 0.5000 0.1224
0.5000 0.5000 0.5000
0.5000 0.5000 0.0000
0.0000 0.0000 0.0000
0.5000 0.0000 0.6143
0.0000 0.5000 0.3857

=====

No. 2
TaP3Pd | the Alexandria database | PBE | optimized geometry; VASP energy = -5.6231 eV/atom; DOS(E_F) = 5.15 states/eV/cell
1.0
-1.5283 0.4821 -4.2693
2.4848 -3.5974 -1.2957
-3.5049 -2.7606 0.9430
P Pd Ta
3 1 1
Direct
0.0000 0.5000 0.0000
0.0000 0.0000 0.5000
0.5000 0.0000 0.0000
0.0000 0.0000 0.0000
0.5000 0.5000 0.5000

=====

No. 3
GaSeI3 | the Alexandria database | PBE | optimized geometry; VASP energy = -2.2089 eV/atom; uncorrected formation energy = 0.1 eV/f.u.; DOS(E_F) = 1.02 states/eV/cell
1.0
5.8166 0.0000 0.0000
0.0000 5.8166 0.0000
0.0000 0.0000 5.8166
I Ga Se
3 1 1
Direct
0.0000 0.5000 0.0000
0.0000 0.0000 0.5000
0.5000 0.0000 0.0000
0.5000 0.5000 0.5000
0.0000 0.0000 0.0000

=====

No. 4
Ce3TlAg | the Alexandria database | PBE | optimized geometry; VASP energy = -4.6603 eV/atom; DOS(E_F) = 26.21 states/eV/cell
1.0
-1.6451 3.2675 3.7693
5.3302 -0.6922 2.9263
5.5113 5.7155 -2.5492
Ce Tl Ag
6 2 2
Direct
0.7500 0.3782 0.0357
0.2500 0.6218 0.9643
0.2500 0.2871 0.6878
0.7500 0.7129 0.3122
0.7500 0.5540 0.6817
0.2500 0.4460 0.3183
0.7500 0.9593 0.8688
0.2500 0.0407 0.1312
0.2500 0.8615 0.5248
0.7500 0.1385 0.4752